VASP calculation (GGA-PBE) on a geometry-optimized AcMg4Cd structure.

Results
Space group ... Pmma, No. 51
Energy relative to the lowest polymorph listed for this composition ... 0 meV/atom
Fermi-level density of states ... 3.4 states/eV/f.u.

The structure in POSCAR format:
```
AcMg4Cd
1.0
8.649 0.000 0.000
0.000 4.625 0.000
0.000 0.000 8.140
Ac Mg Cd
2 8 2
Cartesian
2.162 0.000 1.017 Ac
6.487 0.000 7.123 Ac
0.000 0.000 4.070 Mg
0.488 2.312 6.551 Mg
2.162 2.312 3.678 Mg
3.836 2.312 6.551 Mg
4.324 0.000 4.070 Mg
4.812 2.312 1.589 Mg
6.487 2.312 4.462 Mg
8.161 2.312 1.589 Mg
2.162 0.000 5.819 Cd
6.487 0.000 2.321 Cd
```

VASP calculation (GGA-PBE) on a geometry-optimized CeCo3C structure.

Results
Energy ... -33.718 eV/f.u.
Space group ... R3m, No. 160
Fermi-level density of states ... 5.7 states/eV/f.u.

The structure in POSCAR format:
```
CeCo3C
1.0
2.313 1.335 4.735
-2.313 1.335 4.735
0.000 -2.671 4.735
Ce Co C
1 3 1
Cartesian
0.000 0.000 0.000 Ce
-1.128 -0.652 11.826 Co
1.128 -0.652 11.826 Co
0.000 1.303 11.826 Co
0.000 0.000 3.626 C
```

VASP calculation (GGA-PBE) on a geometry-optimized AcTb2HoS6 structure.

Results
Space group ... R3, No. 146
ΔE_f (raw) ... -2.073 eV per atom
Fermi-level density of states ... 0.0 states/eV/f.u.

The structure in POSCAR format:
```
AcTb2HoS6
1.0
3.545 2.046 6.226
-3.545 2.046 6.226
0.000 -4.093 6.226
Ac Tb Ho S
1 2 1 6
Cartesian
0.000 0.000 0.000 Ac
0.000 0.000 5.272 Tb
0.000 0.000 14.753 Tb
0.000 0.000 9.074 Ho
-2.016 -0.258 7.189 S
-1.367 -2.057 10.281 S
1.231 -1.617 7.189 S
-1.098 2.212 10.281 S
0.785 1.875 7.189 S
2.465 -0.155 10.281 S
```

VASP calculation (GGA-PBE) on a geometry-optimized Ba6CuPt2Br3 structure.

Results
Space group ... C2/m, No. 12
ΔE_f (raw) ... -1.122 eV per atom
Fermi-level density of states ... 9.2 states/eV/f.u.

The structure in POSCAR format:
```
Ba6CuPt2Br3
1.0
3.971 -6.880 0.000
3.971 6.880 0.000
-2.652 0.000 8.395
Ba Cu Pt Br
6 1 2 3
Cartesian
-0.046 2.367 6.593 Ba
1.238 0.000 1.802 Ba
-0.046 -2.367 6.593 Ba
5.337 2.367 1.802 Ba
4.053 0.000 6.593 Ba
5.337 -2.367 1.802 Ba
3.971 0.000 0.000 Cu
3.971 4.587 0.000 Pt
3.971 -4.587 0.000 Pt
-1.326 0.000 4.198 Br
2.645 2.285 4.198 Br
2.645 -2.285 4.198 Br
```

VASP calculation (GGA-PBE) on a geometry-optimized AlNiAgPt structure.

Results
Energy ... -19.751 eV/f.u.
Space group ... F-43m, No. 216
Fermi-level density of states ... 2.4 states/eV/f.u.

The structure in POSCAR format:
```
AlNiAgPt
1.0
0.000 3.072 3.072
3.072 0.000 3.072
3.072 3.072 0.000
Al Ni Ag Pt
1 1 1 1
Cartesian
0.000 0.000 0.000 Al
3.072 3.072 3.072 Ni
4.608 4.608 4.608 Ag
1.536 1.536 1.536 Pt
```

VASP calculation (GGA-PBE) on a geometry-optimized BiPI structure.

Results
Space group ... P1, No. 1
Energy relative to the lowest polymorph listed for this composition ... 147 meV/atom
ΔE_f (raw) ... -0.011 eV per atom

The structure in POSCAR format:
```
BiPI
1.0
6.123 0.000 0.000
0.654 6.092 0.000
2.840 0.999 7.413
Bi P I
2 2 2
Cartesian
0.000 0.000 0.000 Bi
2.964 3.963 1.866 Bi
2.269 0.485 1.316 P
5.969 6.220 6.946 P
2.955 3.300 5.583 I
5.983 3.863 2.556 I
```

VASP calculation (GGA-PBE) on a geometry-optimized AlB2AsP structure.

Results
Energy ... -21.846 eV/f.u.
Space group ... P4/mmm, No. 123
Fermi-level density of states ... 1.9 states/eV/f.u.

The structure in POSCAR format:
```
AlB2AsP
1.0
3.856 0.000 0.000
0.000 3.856 0.000
0.000 0.000 5.018
Al B As P
1 2 1 1
Cartesian
0.000 0.000 0.000 Al
0.000 1.928 2.509 B
1.928 0.000 2.509 B
1.928 1.928 0.000 As
1.928 1.928 2.509 P
```

VASP calculation (GGA-PBE) on a geometry-optimized Ce2CoAs4Pd3 structure.

Results
Energy ... -60.775 eV/f.u.
Space group ... P-4m2, No. 115
Fermi-level density of states ... 13.8 states/eV/f.u.

The structure in POSCAR format:
```
Ce2CoAs4Pd3
1.0
4.362 0.000 0.000
0.000 4.362 0.000
0.000 0.000 9.912
Ce Co As Pd
2 1 4 3
Cartesian
0.000 2.181 2.419 Ce
2.181 0.000 7.492 Ce
2.181 2.181 0.000 Co
0.000 0.000 4.956 As
0.000 2.181 8.672 As
2.181 0.000 1.240 As
2.181 2.181 4.956 As
0.000 0.000 0.000 Pd
0.000 2.181 6.219 Pd
2.181 0.000 3.693 Pd
```

Mass density values (in g/cm³) by entry order: 4.5, 6.2, 5.5, 5.5, 11.1, 4.4, 3.4, 8.4.